# MoCl3 (GGA-PBE, relaxed)
# **Size of the total moment**: 7.681 Bohr magnetons per cell
# **ΔE_f (raw)**: 1.74 eV/f.u.
# **V**: 23.5 A^3/atom
data_MoCl3
_chemical_formula_sum 'Mo2 Cl6'
_cell_length_a 5.0185
_cell_length_b 7.9393
_cell_length_c 4.7162
_cell_angle_alpha 90.00
_cell_angle_beta 90.00
_cell_angle_gamma 90.00
_symmetry_space_group_name_H-M 'C m m m'
_symmetry_Int_Tables_number 65
_symmetry_space_group_name_Hall '-C 2 2'
loop_
_atom_site_label
_atom_site_type_symbol
_atom_site_fract_x
_atom_site_fract_y
_atom_site_fract_z
Mo1 Mo 0.0000 0.0000 0.0000
Cl1 Cl 0.0000 0.5000 0.0000
Cl2 Cl 0.2500 0.2500 0.5000

---

# MgTc2Pd (GGA-PBE, relaxed)
# **Size of the total moment**: 6.276 Bohr magnetons per cell
# **Energy relative to the elements**: 0.50 eV per atom
# **V**: 15.4 A^3/atom
data_MgTc2Pd
_chemical_formula_sum 'Mg4 Tc8 Pd4'
_cell_length_a 6.2689
_cell_length_b 6.2689
_cell_length_c 6.2689
_cell_angle_alpha 90.00
_cell_angle_beta 90.00
_cell_angle_gamma 90.00
_symmetry_space_group_name_H-M 'F m -3 m'
_symmetry_Int_Tables_number 225
_symmetry_space_group_name_Hall '-F 4 2 3'
loop_
_atom_site_label
_atom_site_type_symbol
_atom_site_fract_x
_atom_site_fract_y
_atom_site_fract_z
Mg1 Mg 0.0000 0.0000 0.0000
Tc1 Tc 0.2500 0.2500 0.2500
Pd1 Pd 0.0000 0.0000 0.5000